# PBE Th6Te3Ir2Se, relaxed
# formation energy from raw total energies	-1207.3	meV/atom
# DFT total energy	-0.27451	hartree per atom
# M_tot	0.00	Bohr magnetons per cell
data_Th6Te3Ir2Se
_space_group_name_H-M_alt 'C 1 2/m 1'
_space_group_IT_number 12
_cell_length_a 7.478
_cell_length_b 12.913
_cell_length_c 7.835
_cell_angle_alpha 90.00
_cell_angle_beta 108.46
_cell_angle_gamma 90.00
loop_
_space_group_symop_operation_xyz
'x,y,z'
'-x,-y,-z'
'-x,y,-z'
'x,-y,z'
'x+1/2,y+1/2,z'
'-x+1/2,-y+1/2,-z'
'-x+1/2,y+1/2,-z'
'x+1/2,-y+1/2,z'
loop_
_atom_site_label
_atom_site_type_symbol
_atom_site_fract_x
_atom_site_fract_y
_atom_site_fract_z
_atom_site_occupancy
Th1 Th 0.213 0.000 0.207 1
Th2 Th 0.248 0.322 0.209 1
Te1 Te 0.000 0.000 0.500 1
Te2 Te 0.000 0.342 0.500 1
Ir1 Ir 0.000 0.167 0.000 1
Se1 Se 0.000 0.500 0.000 1